Entry 1:
The following is a PBE calculation of a relaxed Cr2InSi crystal, from Alexandria.

Cell lengths 4.099, 4.099, 3.643 Å; angles 90.00, 90.00, 90.00 degrees
Fractional positions:
Cr  0.000  0.500  0.000
Cr  0.500  0.000  0.000
In  0.000  0.000  0.500
Si  0.500  0.500  0.500

uncorrected formation energy = 0.354 eV/atom
uncorrected energy = -6.50 eV per atom
ρ = 6.697 g/cm3



Entry 2:
The following is a PBE calculation of a relaxed Cr4InSi crystal, from Alexandria.

Cell lengths 4.869, 4.869, 4.869 Å; angles 60.00, 60.00, 60.00 degrees
Fractional positions:
Cr  0.125  0.125  0.125
Cr  0.125  0.125  0.624
Cr  0.125  0.624  0.125
Cr  0.624  0.125  0.125
In  0.750  0.750  0.750
Si  0.500  0.500  0.500

uncorrected formation energy = 0.363 eV/atom
uncorrected energy = -7.41 eV per atom
ρ = 7.141 g/cm3



Entry 3:
The following is a PBE calculation of a relaxed CrInSi2Te crystal, from Alexandria.

Cell lengths 5.023, 5.023, 5.079 Å; angles 90.00, 90.00, 90.00 degrees
Fractional positions:
Cr  0.000  0.000  0.000
In  0.000  0.000  0.500
Si  0.000  0.500  0.500
Si  0.500  0.000  0.500
Te  0.500  0.500  0.000

uncorrected formation energy = 1.575 eV/atom
uncorrected energy = -3.70 eV per atom
ρ = 4.544 g/cm3



Entry 4:
The following is a PBE calculation of a relaxed ZrCrIn2Si crystal, from Alexandria.

Cell lengths 5.574, 5.574, 4.671 Å; angles 90.00, 90.00, 90.00 degrees
Fractional positions:
Zr  0.000  0.000  0.000
Cr  0.000  0.000  0.500
In  0.000  0.500  0.000
In  0.500  0.000  0.000
Si  0.500  0.500  0.500

uncorrected formation energy = 1.292 eV/atom
uncorrected energy = -4.52 eV per atom
ΔE to the lowest computed polymorph = 489 meV/atom
ρ = 4.587 g/cm3